Computed, not measured: a relaxed structure of K2TlIO at the PBE level of DFT.

Lattice parameters (Å, degrees): 4.1855 19.4958 8.1008 90.00 90.00 90.00
Closest atoms and distances in Å follow each position.
Space group Cmcm (No. 63)
Symmetry-distinct sites (fractional):
K1 0.0000 0.1290 0.0050  1 O 2.52
Tl1 0.0000 0.4810 0.2500  4 O 2.94
I1 0.0000 0.2749 0.7500  6 K 3.44-3.51
O1 0.0000 0.0000 0.0000  2 K 2.52

Results
VASP energy = -61.844 eV per cell
Total magnetization = 0.000 μB/cell
ΔE to the lowest computed polymorph = 135 meV per atom
Formation energy (no corrections) = -878.3 meV per atom
Crystal system = orthorhombic



Computed, not measured: a relaxed structure of Ti3NbW at the PBE level of DFT.

Lattice parameters (Å, degrees): 4.7025 4.7025 4.7025 90.00 90.00 90.00
Closest atoms and distances in Å follow each position.
Space group Pm-3m (No. 221)
Symmetry-distinct sites (fractional):
Ti1 0.0000 0.0000 0.5000  2 W 2.35
Nb1 0.5000 0.5000 0.5000  12 Ti 3.33
W1 0.0000 0.0000 0.0000  6 Ti 2.35

Results
VASP energy = -41.506 eV per cell
Total magnetization = 0.000 μB/cell
ΔE to the lowest computed polymorph = 1030 meV per atom
Formation energy = 1.0403 eV/atom
Crystal system = cubic



Computed, not measured: a relaxed structure of RbGaAsBr2 at the PBE level of DFT.

Lattice parameters (Å, degrees): 6.4451 6.4451 6.3968 90.00 90.00 90.00
Closest atoms and distances in Å follow each position.
Space group P4/mmm (No. 123)
Symmetry-distinct sites (fractional):
Rb1 0.0000 0.0000 0.0000  2 As 3.20, 4 Br 3.22
Ga1 0.5000 0.5000 0.5000  8 Br 4.54, 4 As 4.56
As1 0.0000 0.0000 0.5000  2 Rb 3.20
Br1 0.0000 0.5000 0.0000  2 Rb 3.22

Results
VASP energy = -11.306 eV per cell
Total magnetization = 3.069 μB/cell
ΔE to the lowest computed polymorph = 691 meV per atom
Formation energy (no corrections) = 136.7 meV per atom
Crystal system = tetragonal



Computed, not measured: a relaxed structure of CsBaErF6 at the PBE level of DFT.

Lattice parameters (Å, degrees): 8.2776 8.5974 11.3775 90.00 90.00 90.00
Closest atoms and distances in Å follow each position.
Space group Imma (No. 74)
Symmetry-distinct sites (fractional):
Cs1 0.0000 0.2500 0.1017  9 F 3.15-3.45
Ba1 0.0000 0.0000 0.5000  6 F 2.56-2.75
Er1 0.2500 0.2500 0.7500  6 F 2.14-2.20
F1 0.0000 0.2500 0.3786  2 Ba 2.56
F2 0.0000 0.2500 0.6854  2 Er 2.20
F3 0.2212 0.0748 0.8820  1 Er 2.14

Results
VASP energy = -208.401 eV per cell
Total magnetization = 0.191 μB/cell
Formation energy (no corrections) = -3725.9 meV per atom
Crystal system = orthorhombic



Computed, not measured: a relaxed structure of GaCo3H at the PBE level of DFT.

Lattice parameters (Å, degrees): 9.5412 9.5412 9.5412 90.00 90.00 90.00
Closest atoms and distances in Å follow each position.
Space group Fd-3m (No. 227, origin choice 2)
Symmetry-distinct sites (fractional):
Ga1 0.0000 0.0000 0.0000  6 Co 2.45
Co1 0.0636 0.3750 0.8750  2 H 1.79
H1 0.0000 0.0000 0.5000  6 Co 1.79

Results
VASP energy = -436.537 eV per cell
Total magnetization = 56.753 μB/cell
ΔE to the lowest computed polymorph = 187 meV per atom
Crystal system = cubic



Computed, not measured: a relaxed structure of Ac8Tl2Os3 at the PBE level of DFT.

Lattice parameters (Å, degrees): 15.7750 8.6937 7.6720 90.00 90.64 90.00
Closest atoms and distances in Å follow each position.
Space group C2/m (No. 12)
Symmetry-distinct sites (fractional):
Ac1 0.0966 0.2458 0.3281  2 Os 2.93-2.95
Ac2 0.1008 0.0000 0.8387  3 Os 3.02-3.03
Ac3 0.1103 0.5000 0.8674  2 Os 2.92
Tl1 0.2482 0.5000 0.5059  6 Ac 3.48-3.58
Os1 0.0000 0.0000 0.5000  6 Ac 2.95-3.03
Os2 0.0000 0.2579 0.0000  6 Ac 2.92-3.02

Results
VASP energy = -143.958 eV per cell
Total magnetization = 0.000 μB/cell
Formation energy = -0.0530 eV/atom
Crystal system = monoclinic



Computed, not measured: a relaxed structure of RbPaI2O8 at the PBE level of DFT.

Lattice parameters (Å, degrees): 6.5173 6.5173 7.8740 90.00 90.00 120.00
Closest atoms and distances in Å follow each position.
Space group P-3m1 (No. 164)
Symmetry-distinct sites (fractional):
Rb1 0.0000 0.0000 0.0000  6 O 3.17
Pa1 0.0000 0.0000 0.5000  6 O 2.18
I1 0.3333 0.6667 0.3208  1 O 1.78
O1 0.1554 0.3107 0.3358  1 I 2.01, 1 Pa 2.18
O2 0.3333 0.6667 0.0946  1 I 1.78

Results
VASP energy = -69.925 eV per cell
Total magnetization = 0.000 μB/cell
Formation energy (no corrections) = -1391.3 meV per atom
Crystal system = trigonal



Computed, not measured: a relaxed structure of VIn at the PBE level of DFT.

Lattice parameters (Å, degrees): 8.0990 8.0990 4.5407 90.00 90.00 120.00
Closest atoms and distances in Å follow each position.
Space group P6_3/mmc (No. 194)
Symmetry-distinct sites (fractional):
V1 0.1292 0.5646 0.2500  2 V 2.48
In1 0.1971 0.3941 0.7500  6 V 2.82-2.85

Results
VASP energy = -67.098 eV per cell
Total magnetization = 3.070 μB/cell
Formation energy = 0.3370 eV/atom
Crystal system = hexagonal